# La2Fe | OQMD via LeMat-Bulk | PBE | optimized geometry
# SG ... Fd-3m, No. 227
# Formation enthalpy at 0 K ... 715.4 meV/atom
# Spin magnetization ... 0.12 μB/cell
data_La2Fe
_chemical_formula_sum 'La4 Fe2'
_cell_length_a 7.9480
_cell_length_b 7.9480
_cell_length_c 7.9480
_cell_angle_alpha 60.00
_cell_angle_beta 60.00
_cell_angle_gamma 60.00
_space_group_name_H-M_alt 'P 1'
_space_group_IT_number 1
loop_
_space_group_symop_operation_xyz
'x,y,z'
loop_
_atom_site_label
_atom_site_type_symbol
_atom_site_fract_x
_atom_site_fract_y
_atom_site_fract_z
La1 La 0.0000 0.0000 0.0000
La2 La 0.0000 0.0000 0.5000
La3 La 0.0000 0.5000 0.0000
La4 La 0.5000 0.0000 0.0000
Fe1 Fe 0.1250 0.1250 0.1250
Fe2 Fe 0.8750 0.8750 0.8750